# KPuCoF6, optimized geometry, DFT PBE with a Hubbard U
# theoretical density = 4.53 Mg/m³
# DFT total energy = -6.44 eV/atom
data_KPuCoF6
_cell_length_a 5.913
_cell_length_b 10.208
_cell_length_c 5.535
_cell_angle_alpha 90.00
_cell_angle_beta 90.11
_cell_angle_gamma 90.00
_symmetry_space_group_name_H-M 'C 1 2 1'
_symmetry_Int_Tables_number 5
_symmetry_space_group_name_Hall 'C 2y'
loop_
_atom_site_label
_atom_site_type_symbol
_atom_site_fract_x
_atom_site_fract_y
_atom_site_fract_z
K1 K 0.000 0.000 0.000
Pu1 Pu 0.000 0.333 0.500
Co1 Co 0.000 0.667 0.500
F1 F 0.135 0.514 0.702
F2 F 0.163 0.810 0.703
F3 F 0.205 0.177 0.704

# KRbCoF6, optimized geometry, DFT PBE with a Hubbard U
# theoretical density = 3.22 Mg/m³
# DFT total energy = -4.23 eV/atom
data_KRbCoF6
_cell_length_a 6.5017
_cell_length_b 6.5017
_cell_length_c 8.3787
_cell_angle_alpha 90.00
_cell_angle_beta 90.00
_cell_angle_gamma 120.00
_symmetry_space_group_name_H-M 'P -3 1 c'
_symmetry_Int_Tables_number 163
_symmetry_space_group_name_Hall '-P 3 2c'
loop_
_atom_site_label
_atom_site_type_symbol
_atom_site_fract_x
_atom_site_fract_y
_atom_site_fract_z
K1 K 0.0000 0.0000 0.0000
Rb1 Rb 0.3333 0.6667 0.2500
Co1 Co 0.3333 0.6667 0.7500
F1 F 0.1104 0.4325 0.6257

# K2RbCoF8, optimized geometry, DFT PBE with a Hubbard U
# theoretical density = 3.06 Mg/m³
# DFT total energy = -4.10 eV/atom
data_K2RbCoF8
_cell_length_a 4.920
_cell_length_b 5.564
_cell_length_c 7.694
_cell_angle_alpha 89.80
_cell_angle_beta 74.69
_cell_angle_gamma 89.59
_symmetry_space_group_name_H-M 'P -1'
_symmetry_Int_Tables_number 2
_symmetry_space_group_name_Hall '-P 1'
loop_
_atom_site_label
_atom_site_type_symbol
_atom_site_fract_x
_atom_site_fract_y
_atom_site_fract_z
K1 K 0.121 0.001 0.202
Rb1 Rb 0.500 0.500 0.500
Co1 Co 0.500 0.500 0.000
F1 F 0.204 0.500 0.202
F2 F 0.296 0.002 0.502
F3 F 0.339 0.733 0.895
F4 F 0.340 0.269 0.895

# K3Rb4CoF8, optimized geometry, DFT PBE with a Hubbard U
# theoretical density = 3.38 Mg/m³
# DFT total energy = -4.11 eV/atom
data_K3Rb4CoF8
_cell_length_a 13.564
_cell_length_b 7.608
_cell_length_c 7.670
_cell_angle_alpha 90.00
_cell_angle_beta 123.69
_cell_angle_gamma 90.00
_symmetry_space_group_name_H-M 'C 1 2/m 1'
_symmetry_Int_Tables_number 12
_symmetry_space_group_name_Hall '-C 2y'
loop_
_atom_site_label
_atom_site_type_symbol
_atom_site_fract_x
_atom_site_fract_y
_atom_site_fract_z
K1 K 0.000 0.000 0.000
K2 K 0.250 0.250 0.500
Rb1 Rb 0.000 0.000 0.500
Rb2 Rb 0.000 0.500 0.500
Rb3 Rb 0.250 0.250 0.000
Co1 Co 0.000 0.500 0.000
F1 F 0.004 0.279 0.216
F2 F 0.235 0.000 0.724
F3 F 0.246 0.000 0.256

# KRb3Co2F8, optimized geometry, DFT PBE with a Hubbard U
# theoretical density = 3.24 Mg/m³
# DFT total energy = -4.54 eV/atom
data_KRb3Co2F8
_cell_length_a 6.4177
_cell_length_b 6.4177
_cell_length_c 8.1224
_cell_angle_alpha 90.00
_cell_angle_beta 90.00
_cell_angle_gamma 120.00
_symmetry_space_group_name_H-M 'P -3 m 1'
_symmetry_Int_Tables_number 164
_symmetry_space_group_name_Hall '-P 3 2"'
loop_
_atom_site_label
_atom_site_type_symbol
_atom_site_fract_x
_atom_site_fract_y
_atom_site_fract_z
K1 K 0.0000 0.0000 0.0000
Rb1 Rb 0.0000 0.0000 0.5000
Rb2 Rb 0.3333 0.6667 0.1414
Co1 Co 0.3333 0.6667 0.6944
F1 F 0.1763 0.3527 0.7992
F2 F 0.3333 0.6667 0.4616

# KRbCoF4, optimized geometry, DFT PBE with a Hubbard U
# theoretical density = 2.97 Mg/m³
# DFT total energy = -4.52 eV/atom
data_KRbCoF4
_cell_length_a 6.306
_cell_length_b 6.374
_cell_length_c 7.210
_cell_angle_alpha 90.00
_cell_angle_beta 90.00
_cell_angle_gamma 90.00
_symmetry_space_group_name_H-M 'I m m 2'
_symmetry_Int_Tables_number 44
_symmetry_space_group_name_Hall 'I 2 -2'
loop_
_atom_site_label
_atom_site_type_symbol
_atom_site_fract_x
_atom_site_fract_y
_atom_site_fract_z
K1 K 0.000 0.000 0.000
Rb1 Rb 0.000 0.000 0.499
Co1 Co 0.000 0.500 0.750
F1 F 0.215 0.284 0.750

# K2RbCo3F12, optimized geometry, DFT PBE with a Hubbard U
# theoretical density = 3.38 Mg/m³
# DFT total energy = -4.47 eV/atom
data_K2RbCo3F12
_cell_length_a 7.4534
_cell_length_b 7.4534
_cell_length_c 17.4075
_cell_angle_alpha 90.00
_cell_angle_beta 90.00
_cell_angle_gamma 120.00
_symmetry_space_group_name_H-M 'R -3 m'
_symmetry_Int_Tables_number 166
_symmetry_space_group_name_Hall '-R 3 2"'
loop_
_atom_site_label
_atom_site_type_symbol
_atom_site_fract_x
_atom_site_fract_y
_atom_site_fract_z
K1 K 0.0000 0.0000 0.1159
Rb1 Rb 0.0000 0.0000 0.5000
Co1 Co 0.0000 0.5000 0.0000
F1 F 0.0633 0.5317 0.8992
F2 F 0.0748 0.5374 0.3121

# K2Co3RuF12, optimized geometry, DFT PBE with a Hubbard U
# theoretical density = 3.33 Mg/m³
# DFT total energy = -4.91 eV/atom
data_K2Co3RuF12
_cell_length_a 7.3224
_cell_length_b 7.3224
_cell_length_c 18.8086
_cell_angle_alpha 90.00
_cell_angle_beta 90.00
_cell_angle_gamma 120.00
_symmetry_space_group_name_H-M 'R -3 m'
_symmetry_Int_Tables_number 166
_symmetry_space_group_name_Hall '-R 3 2"'
loop_
_atom_site_label
_atom_site_type_symbol
_atom_site_fract_x
_atom_site_fract_y
_atom_site_fract_z
K1 K 0.0000 0.0000 0.0972
Co1 Co 0.0000 0.5000 0.0000
Ru1 Ru 0.0000 0.0000 0.5000
F1 F 0.0622 0.5311 0.3583
F2 F 0.0742 0.5371 0.1101

# KCoRuF6, optimized geometry, DFT PBE with a Hubbard U
# theoretical density = 3.51 Mg/m³
# DFT total energy = -5.02 eV/atom
data_KCoRuF6
_cell_length_a 5.4619
_cell_length_b 5.4619
_cell_length_c 5.7302
_cell_angle_alpha 90.00
_cell_angle_beta 90.00
_cell_angle_gamma 120.00
_symmetry_space_group_name_H-M 'P 3 1 2'
_symmetry_Int_Tables_number 149
_symmetry_space_group_name_Hall 'P 3 2'
loop_
_atom_site_label
_atom_site_type_symbol
_atom_site_fract_x
_atom_site_fract_y
_atom_site_fract_z
K1 K 0.0000 0.0000 0.0000
Co1 Co 0.3333 0.6667 0.5000
Ru1 Ru 0.6667 0.3333 0.5000
F1 F 0.3652 0.0062 0.6888

# KCoSbF6, optimized geometry, DFT PBE with a Hubbard U
# theoretical density = 3.76 Mg/m³
# DFT total energy = -4.78 eV/atom
data_KCoSbF6
_cell_length_a 5.010
_cell_length_b 5.821
_cell_length_c 5.826
_cell_angle_alpha 119.87
_cell_angle_beta 90.07
_cell_angle_gamma 90.03
_symmetry_space_group_name_H-M 'P 1'
_symmetry_Int_Tables_number 1
_symmetry_space_group_name_Hall 'P 1'
loop_
_atom_site_label
_atom_site_type_symbol
_atom_site_fract_x
_atom_site_fract_y
_atom_site_fract_z
K1 K 0.000 0.000 0.000
Co1 Co 0.570 0.333 0.667
Sb1 Sb 0.501 0.667 0.334
F1 F 0.375 0.655 0.944
F2 F 0.376 0.289 0.344
F3 F 0.377 0.055 0.713
F4 F 0.774 0.432 0.032
F5 F 0.774 0.600 0.570
F6 F 0.774 0.970 0.401

# K2ScCo3F12, optimized geometry, DFT PBE with a Hubbard U
# theoretical density = 3.03 Mg/m³
# DFT total energy = -5.23 eV/atom
data_K2ScCo3F12
_cell_length_a 7.3385
_cell_length_b 7.3385
_cell_length_c 18.5980
_cell_angle_alpha 90.00
_cell_angle_beta 90.00
_cell_angle_gamma 120.00
_symmetry_space_group_name_H-M 'R -3 m'
_symmetry_Int_Tables_number 166
_symmetry_space_group_name_Hall '-R 3 2"'
loop_
_atom_site_label
_atom_site_type_symbol
_atom_site_fract_x
_atom_site_fract_y
_atom_site_fract_z
K1 K 0.0000 0.0000 0.1040
Sc1 Sc 0.0000 0.0000 0.5000
Co1 Co 0.0000 0.5000 0.0000
F1 F 0.0634 0.5317 0.3557
F2 F 0.0684 0.5342 0.1061

# KScCoF6, optimized geometry, DFT PBE with a Hubbard U
# theoretical density = 2.85 Mg/m³
# DFT total energy = -5.76 eV/atom
data_KScCoF6
_cell_length_a 5.529
_cell_length_b 9.551
_cell_length_c 5.673
_cell_angle_alpha 90.00
_cell_angle_beta 90.10
_cell_angle_gamma 90.00
_symmetry_space_group_name_H-M 'C 1 2 1'
_symmetry_Int_Tables_number 5
_symmetry_space_group_name_Hall 'C 2y'
loop_
_atom_site_label
_atom_site_type_symbol
_atom_site_fract_x
_atom_site_fract_y
_atom_site_fract_z
K1 K 0.000 0.000 0.000
Sc1 Sc 0.000 0.333 0.500
Co1 Co 0.000 0.667 0.500
F1 F 0.126 0.498 0.694
F2 F 0.184 0.188 0.695
F3 F 0.191 0.814 0.695

# KScCo2F8, optimized geometry, DFT PBE with a Hubbard U
# theoretical density = 3.21 Mg/m³
# DFT total energy = -5.53 eV/atom
data_KScCo2F8
_cell_length_a 5.095
_cell_length_b 5.102
_cell_length_c 7.216
_cell_angle_alpha 83.02
_cell_angle_beta 83.03
_cell_angle_gamma 81.09
_symmetry_space_group_name_H-M 'P -1'
_symmetry_Int_Tables_number 2
_symmetry_space_group_name_Hall '-P 1'
loop_
_atom_site_label
_atom_site_type_symbol
_atom_site_fract_x
_atom_site_fract_y
_atom_site_fract_z
K1 K 0.000 0.000 0.000
Sc1 Sc 0.000 0.000 0.500
Co1 Co 0.449 0.450 0.227
F1 F 0.208 0.775 0.705
F2 F 0.228 0.794 0.295
F3 F 0.263 0.266 0.453
F4 F 0.339 0.340 0.995

# K2ScCoF6, optimized geometry, DFT PBE with a Hubbard U
# theoretical density = 3.22 Mg/m³
# DFT total energy = -5.41 eV/atom
data_K2ScCoF6
_cell_length_a 5.994
_cell_length_b 8.502
_cell_length_c 5.996
_cell_angle_alpha 90.00
_cell_angle_beta 90.00
_cell_angle_gamma 90.00
_symmetry_space_group_name_H-M 'P m m n'
_symmetry_Int_Tables_number 59
loop_
_symmetry_equiv_pos_as_xyz
'x,y,z'
'-x,-y,-z'
'-x+1/2,-y+1/2,z'
'x+1/2,y+1/2,-z'
'x+1/2,-y,-z'
'-x+1/2,y,z'
'-x,y+1/2,-z'
'x,-y+1/2,z'
loop_
_atom_site_label
_atom_site_type_symbol
_atom_site_fract_x
_atom_site_fract_y
_atom_site_fract_z
K1 K 0.250 0.000 0.250
Sc1 Sc 0.250 0.250 0.749
Co1 Co 0.250 0.750 0.751
F1 F 0.010 0.250 0.989
F2 F 0.011 0.250 0.509
F3 F 0.250 0.011 0.750

# K2SmCo3F12, optimized geometry, DFT PBE with a Hubbard U
# theoretical density = 3.86 Mg/m³
# DFT total energy = -5.14 eV/atom
data_K2SmCo3F12
_cell_length_a 7.5482
_cell_length_b 7.5482
_cell_length_c 16.5555
_cell_angle_alpha 90.00
_cell_angle_beta 90.00
_cell_angle_gamma 120.00
_symmetry_space_group_name_H-M 'R -3 m'
_symmetry_Int_Tables_number 166
_symmetry_space_group_name_Hall '-R 3 2"'
loop_
_atom_site_label
_atom_site_type_symbol
_atom_site_fract_x
_atom_site_fract_y
_atom_site_fract_z
K1 K 0.0000 0.0000 0.1172
Sm1 Sm 0.0000 0.0000 0.5000
Co1 Co 0.0000 0.5000 0.0000
F1 F 0.0110 0.5055 0.8801
F2 F 0.0832 0.5416 0.3131

# KSmCoF6, optimized geometry, DFT PBE with a Hubbard U
# theoretical density = 4.17 Mg/m³
# DFT total energy = -5.58 eV/atom
data_KSmCoF6
_cell_length_a 7.276
_cell_length_b 7.655
_cell_length_c 10.351
_cell_angle_alpha 90.00
_cell_angle_beta 90.00
_cell_angle_gamma 90.00
_symmetry_space_group_name_H-M 'I m m a'
_symmetry_Int_Tables_number 74
_symmetry_space_group_name_Hall '-I 2b 2'
loop_
_atom_site_label
_atom_site_type_symbol
_atom_site_fract_x
_atom_site_fract_y
_atom_site_fract_z
K1 K 0.000 0.250 0.087
Sm1 Sm 0.000 0.000 0.500
Co1 Co 0.250 0.250 0.750
F1 F 0.000 0.250 0.379
F2 F 0.000 0.250 0.649
F3 F 0.226 0.056 0.883

# KCo2SnF8, optimized geometry, DFT PBE with a Hubbard U
# theoretical density = 3.92 Mg/m³
# DFT total energy = -4.75 eV/atom
data_KCo2SnF8
_cell_length_a 5.118
_cell_length_b 5.171
_cell_length_c 6.850
_cell_angle_alpha 89.61
_cell_angle_beta 89.19
_cell_angle_gamma 88.61
_symmetry_space_group_name_H-M 'P -1'
_symmetry_Int_Tables_number 2
_symmetry_space_group_name_Hall '-P 1'
loop_
_atom_site_label
_atom_site_type_symbol
_atom_site_fract_x
_atom_site_fract_y
_atom_site_fract_z
K1 K 0.000 0.000 0.000
Co1 Co 0.500 0.499 0.242
Sn1 Sn 0.000 0.000 0.500
F1 F 0.226 0.782 0.712
F2 F 0.229 0.786 0.286
F3 F 0.298 0.308 0.499
F4 F 0.326 0.343 0.002

# KSrCoF6, optimized geometry, DFT PBE with a Hubbard U
# theoretical density = 3.28 Mg/m³
# DFT total energy = -4.89 eV/atom
data_KSrCoF6
_cell_length_a 5.9452
_cell_length_b 5.9452
_cell_length_c 9.9032
_cell_angle_alpha 90.00
_cell_angle_beta 90.00
_cell_angle_gamma 120.00
_symmetry_space_group_name_H-M 'P -3 1 c'
_symmetry_Int_Tables_number 163
_symmetry_space_group_name_Hall '-P 3 2c'
loop_
_atom_site_label
_atom_site_type_symbol
_atom_site_fract_x
_atom_site_fract_y
_atom_site_fract_z
K1 K 0.0000 0.0000 0.0000
Sr1 Sr 0.3333 0.6667 0.2500
Co1 Co 0.3333 0.6667 0.7500
F1 F 0.0701 0.4079 0.6433

# KSr2CoF, optimized geometry, DFT PBE with a Hubbard U
# theoretical density = 2.37 Mg/m³
# DFT total energy = -2.30 eV/atom
data_KSr2CoF
_cell_length_a 6.786
_cell_length_b 6.786
_cell_length_c 4.455
_cell_angle_alpha 90.00
_cell_angle_beta 90.00
_cell_angle_gamma 90.00
_symmetry_space_group_name_H-M 'P 4/m m m'
_symmetry_Int_Tables_number 123
_symmetry_space_group_name_Hall '-P 4 2'
loop_
_atom_site_label
_atom_site_type_symbol
_atom_site_fract_x
_atom_site_fract_y
_atom_site_fract_z
K1 K 0.000 0.000 0.000
Sr1 Sr 0.000 0.500 0.000
Co1 Co 0.500 0.500 0.500
F1 F 0.000 0.000 0.500